1.
Material: Y2Ag3Hg3O12
Method: DFT, GGA-PBE
State: relaxed

a = 11.7063 Å, b = 11.7063 Å, c = 11.7063 Å
α = 109.47°, β = 109.47°, γ = 109.47°
Atoms (fractional coordinates):
Ag 0.7500 0.3750 0.1250
Ag 0.8750 0.7500 0.1250
Ag 0.1250 0.3750 0.2500
Ag 0.6250 0.8750 0.2500
Ag 0.2500 0.1250 0.3750
Ag 0.6250 0.2500 0.3750
Ag 0.7500 0.8750 0.6250
Ag 0.3750 0.7500 0.6250
Ag 0.3750 0.1250 0.7500
Ag 0.8750 0.6250 0.7500
Ag 0.1250 0.2500 0.8750
Ag 0.2500 0.6250 0.8750
Hg 0.3750 0.2500 0.1250
Hg 0.2500 0.8750 0.1250
Hg 0.3750 0.6250 0.2500
Hg 0.8750 0.1250 0.2500
Hg 0.7500 0.6250 0.3750
Hg 0.1250 0.7500 0.3750
Hg 0.2500 0.3750 0.6250
Hg 0.8750 0.2500 0.6250
Hg 0.1250 0.8750 0.7500
Hg 0.6250 0.3750 0.7500
Hg 0.7500 0.1250 0.8750
Hg 0.6250 0.7500 0.8750
O 0.2006 0.6507 0.0288
O 0.3283 0.3781 0.0288
O 0.8493 0.8781 0.0498
O 0.7006 0.1717 0.0498
O 0.6507 0.9502 0.1219
O 0.9712 0.1717 0.1219
O 0.0288 0.7006 0.1507
O 0.6219 0.4502 0.1507
O 0.4712 0.1219 0.1717
O 0.2006 0.0498 0.1717
O 0.1507 0.5288 0.2006
O 0.5498 0.6717 0.2006
O 0.4712 0.8493 0.2994
O 0.3283 0.4502 0.2994
O 0.8781 0.5288 0.3283
O 0.9502 0.7994 0.3283
O 0.2994 0.9712 0.3493
O 0.5498 0.3781 0.3493
O 0.8283 0.0288 0.3781
O 0.0498 0.3493 0.3781
O 0.1219 0.1507 0.4502
O 0.8283 0.2994 0.4502
O 0.6219 0.6717 0.4712
O 0.3493 0.7994 0.4712
O 0.3781 0.3283 0.5288
O 0.6507 0.2006 0.5288
O 0.1717 0.7006 0.5498
O 0.8781 0.8493 0.5498
O 0.1717 0.9712 0.6219
O 0.9502 0.6507 0.6219
O 0.4502 0.6219 0.6507
O 0.7006 0.0288 0.6507
O 0.0498 0.2006 0.6717
O 0.1219 0.4712 0.6717
O 0.6717 0.5498 0.7006
O 0.5288 0.1507 0.7006
O 0.8493 0.4712 0.7994
O 0.4502 0.3283 0.7994
O 0.5288 0.8781 0.8283
O 0.7994 0.9502 0.8283
O 0.3781 0.5498 0.8493
O 0.9712 0.2994 0.8493
O 0.3493 0.0498 0.8781
O 0.0288 0.8283 0.8781
O 0.2994 0.8283 0.9502
O 0.1507 0.1219 0.9502
O 0.6717 0.6219 0.9712
O 0.7994 0.3493 0.9712
Y 0.0000 0.0000 0.0000
Y 0.5000 0.0000 0.0000
Y 0.0000 0.5000 0.0000
Y 0.5000 0.5000 0.0000
Y 0.0000 0.0000 0.5000
Y 0.5000 0.5000 0.5000
Y 0.5000 0.0000 0.5000
Y 0.0000 0.5000 0.5000

Output
Excess energy over the best structure of this formula in the dataset: 0.0000 eV/atom
Space-group type: No. 230
Calculated density: 6.97 g/cm³

=====

2.
Material: Ag2HgOsSe4
Method: DFT, GGA-PBE
State: relaxed

a = 8.8461 Å, b = 7.1292 Å, c = 6.9897 Å
α = 90.00°, β = 90.00°, γ = 90.00°
Atoms (fractional coordinates):
Ag 0.2462 0.3186 0.0160
Ag 0.7538 0.3186 0.0160
Ag 0.2538 0.6814 0.5160
Ag 0.7462 0.6814 0.5160
Hg 0.5000 0.8475 0.0155
Hg 0.0000 0.1525 0.5155
Os 0.0000 0.8069 0.0220
Os 0.5000 0.1931 0.5220
Se 0.0000 0.1265 0.1063
Se 0.2243 0.6728 0.1360
Se 0.7757 0.6728 0.1360
Se 0.5000 0.2073 0.1872
Se 0.5000 0.8735 0.6063
Se 0.2757 0.3272 0.6360
Se 0.7243 0.3272 0.6360
Se 0.0000 0.7927 0.6872

Output
Raw total energy: -61.6 eV/cell
Space-group type: No. 31
Calculated density: 6.95 g/cm³

=====

calculated density of number 1 (Y2Ag3Hg3O12)?
6.97 g/cm³